[1]
LiCd2Cu: optimized geometry, GGA-PBEsol.

```
LiCd2Cu
1.0
-2.1422 -0.9616 2.1488
-0.4038 -2.7240 -1.6216
4.5830 -2.6842 3.3678
Cu Cd Li
1 2 1
direct
0.5000 0.5000 0.0000
0.0000 0.0000 0.7556
0.0000 0.0000 0.2444
0.5000 0.5000 0.5000
```

Results
Symmetry: Pmmm, No. 47
Calculated formation energy in eV/atom: -0.120

[2]
LiCd2Cu: optimized geometry, GGA-PBEsol.

```
LiCd2Cu
1.0
4.5244 0.0000 0.0000
2.2622 3.9183 0.0000
2.2622 1.3061 3.6942
Li Cd Cu
1 2 1
direct
0.2500 0.2500 0.2500
0.7500 0.7500 0.7500
0.0000 0.0000 0.0000
0.5000 0.5000 0.5000
```

Results
Symmetry: F-43m, No. 216
Calculated formation energy in eV/atom: -0.072

[3]
LiCdCu2: optimized geometry, GGA-PBEsol.

```
LiCdCu2
1.0
3.9339 0.0000 0.0000
0.0000 3.9339 0.0000
-1.9670 -1.9670 3.5313
Cu Li Cd
2 1 1
direct
0.7500 0.2500 0.5000
0.0000 0.0000 0.0000
0.5000 0.5000 0.0000
0.2500 0.7500 0.5000
```

Results
Symmetry: I-4m2, No. 119
Calculated formation energy in eV/atom: -0.037

[4]
LiCdCu2: optimized geometry, GGA-PBEsol.

```
LiCdCu2
1.0
3.7289 0.0000 0.0000
0.0000 3.7289 0.0000
0.0000 0.0000 3.9273
Cu Li Cd
2 1 1
direct
0.5000 0.0000 0.0000
0.0000 0.5000 0.0000
0.5000 0.5000 0.5000
0.0000 0.0000 0.5000
```

Results
Symmetry: P4/mmm, No. 123
Calculated formation energy in eV/atom: -0.025

[5]
Li2CdCu: optimized geometry, GGA-PBEsol.

```
Li2CdCu
1.0
2.7065 0.0000 -0.0678
0.0000 4.2658 0.0000
-1.0085 0.0000 5.2551
Li Cd Cu
2 1 1
direct
0.8288 0.5000 0.2450
0.9570 0.0000 0.9898
0.5101 0.0000 0.5064
0.2041 0.5000 0.7588
```

Results
Symmetry: Pm, No. 6
Calculated formation energy in eV/atom: -0.062

[6]
Li2CdCu: optimized geometry, GGA-PBEsol.

```
Li2CdCu
1.0
-1.8264 -1.9653 2.8054
0.7329 -3.3299 -1.8556
3.9662 2.2967 1.5054
Cd Cu Li
1 1 2
direct
0.5000 0.5000 0.0000
0.0000 0.0000 0.0000
0.2500 0.7500 0.5000
0.7500 0.2500 0.5000
```

Results
Symmetry: I4/mmm, No. 139
Calculated formation energy in eV/atom: -0.085

[7]
LiCd2Cu: optimized geometry, GGA-PBEsol.

```
LiCd2Cu
1.0
3.1703 0.0000 0.0000
0.0000 4.4747 -0.1020
-1.5852 -1.8678 4.5806
Li Cd Cu
1 2 1
direct
0.2340 0.7456 0.4680
0.9964 0.9843 0.9928
0.7654 0.2796 0.5307
0.5042 0.4905 0.0084
```

Results
Symmetry: Cm, No. 8
Calculated formation energy in eV/atom: -0.088

[8]
LiCd2Cu: optimized geometry, GGA-PBEsol.

```
LiCd2Cu
1.0
-1.9462 -2.3654 0.7783
2.3621 -1.4410 1.5273
-1.6089 3.1072 5.4200
Li Cd Cu
1 2 1
direct
0.5000 0.5000 0.7201
0.5000 0.5000 0.2869
0.0000 0.0000 0.9673
0.0000 0.0000 0.5257
```

Results
Symmetry: P4mm, No. 99
Calculated formation energy in eV/atom: -0.069

no.,size of the total moment (μB per atom),density of states at the Fermi level (states/eV/f.u.),total energy (eV per atom)
1,0.00,1.023,-2.29
2,0.00,0.959,-2.25
3,0.00,1.179,-3.00
4,0.00,1.288,-2.98
5,0.00,1.265,-2.43
6,0.00,1.351,-2.45
7,0.00,1.208,-2.26
8,0.00,0.956,-2.24